Computed, not measured: an optimized crystal structure of HfScPbAu at the PBE level of DFT.

DFT formation energy   -0.284 eV per atom
Density of states at the Fermi level   1.09 states/eV per atom

abc: 7.0139 7.0139 7.0139
angles: 90.00 90.00 90.00
Space group F-43m (No. 216)
Asymmetric unit:
1 Hf 0.0000 0.0000 0.0000 [4 per cell]
2 Sc 0.0000 0.0000 0.5000 [4 per cell]
3 Pb 0.2500 0.2500 0.2500 [4 per cell]
4 Au 0.2500 0.2500 0.7500 [4 per cell]

***

Computed, not measured: an optimized crystal structure of Hf2TcPbAu at the PBE level of DFT.

DFT formation energy   1.782 eV per atom
Density of states at the Fermi level   1.22 states/eV per atom

abc: 5.3323 5.3323 5.0077
angles: 90.00 90.00 90.00
Space group P4/mmm (No. 123)
Asymmetric unit:
1 Hf 0.0000 0.5000 0.0000 [2 per cell]
2 Tc 0.0000 0.0000 0.5000 [1 per cell]
3 Pb 0.5000 0.5000 0.0000 [1 per cell]
4 Au 0.5000 0.5000 0.5000 [1 per cell]

***

Computed, not measured: an optimized crystal structure of HfPd7Au4 at the PBE level of DFT.

DFT formation energy   -0.342 eV per atom
Density of states at the Fermi level   0.38 states/eV per atom
E above lowest polymorph   0.000 eV/atom

abc: 4.9225 5.7474 7.5890
angles: 101.92 108.74 90.46
Space group P-1 (No. 2)
Asymmetric unit:
1 Hf 0.0000 0.0000 0.0000 [1 per cell]
2 Pd 0.0000 0.5000 0.0000 [1 per cell]
3 Pd 0.0028 0.6763 0.6771 [2 per cell]
4 Pd 0.4929 0.0787 0.3259 [2 per cell]
5 Pd 0.4971 0.2483 0.0007 [2 per cell]
6 Au 0.0013 0.1707 0.6666 [2 per cell]
7 Au 0.4996 0.4211 0.6677 [2 per cell]